(1)
TaMn2Tc: optimized geometry, PBE.

Results
Magnetization   0.746 μB/atom
SG   C2/m, No. 12
Density of states at the Fermi level   4.081 states/eV per cell
Energy   -40.4 eV per cell
ΔH_f (0 K)   0.205 eV/f.u.
Polymorph energy (0 for the lowest one)   116 meV/atom

abc: 4.8931 4.8931 2.7066
angles: 99.42 99.42 114.74
Closest atoms and distances in Å follow each position.
Sites, in units of the cell vectors:
Ta (0.0000, 0.0000, 0.0000)  4 Mn 2.59, 2 Tc 2.64, 2 Ta 2.71
Mn (0.0000, 0.5000, 0.5000)  2 Ta 2.59, 2 Tc 2.59, 4 Mn 2.64-2.71
Mn (0.5000, 0.0000, 0.5000)  2 Ta 2.59, 2 Tc 2.59, 4 Mn 2.64-2.71
Tc (0.5000, 0.5000, 0.0000)  4 Mn 2.59, 2 Ta 2.64, 2 Tc 2.71

(2)
Zn2AgHg: optimized geometry, PBE.

Results
Magnetization   0.000 μB/atom
SG   R3m, No. 160
Density of states at the Fermi level   1.281 states/eV per cell
Energy   -5.0 eV per cell
ΔH_f (0 K)   0.677 eV/f.u.

abc: 6.4519 6.4519 6.4519
angles: 35.84 35.84 35.84
Closest atoms and distances in Å follow each position.
Sites, in units of the cell vectors:
Zn (0.0000, 0.0000, 0.0000)  3 Ag 2.67, 3 Hg 2.78
Zn (0.1805, 0.1805, 0.1805)  3 Ag 2.68, 3 Hg 2.85
Ag (0.5906, 0.5906, 0.5906)  6 Zn 2.67-2.68
Hg (0.4205, 0.4205, 0.4205)  6 Zn 2.78-2.85, 1 Ag 3.08